[1]
VASP calculation (PBE) on an optimized crystal structure of DyTeAs.

Structure (POSCAR):
```
DyTeAs
1.0
4.939 0.000 0.000
-2.470 4.278 0.000
0.000 0.000 7.267
Dy Te As
2 2 2
Direct
0.000 0.000 0.000 Dy
0.000 0.000 0.500 Dy
0.333 0.667 0.253 Te
0.667 0.333 0.753 Te
0.333 0.667 0.751 As
0.667 0.333 0.251 As
```

Computed properties:
As for the volume: 154 Å³/cell. The value obtained for the total magnetization is 0.022 μB/cell. The total energy comes out at -27.5 eV for the cell shown. As for the space-group type: P6_3mc (186).



[2]
VASP calculation (PBE) on an optimized crystal structure of CsTlWS3.

Structure (POSCAR):
```
CsTlWS3
1.0
1.765 -10.331 0.000
1.765 10.331 0.000
0.000 0.000 9.558
Cs Tl W S
2 2 2 6
Direct
0.199 0.801 0.750 Cs
0.801 0.199 0.250 Cs
0.131 0.869 0.250 Tl
0.869 0.131 0.750 Tl
0.500 0.500 0.000 W
0.500 0.500 0.500 W
0.080 0.920 0.539 S
0.080 0.920 0.961 S
0.473 0.527 0.750 S
0.527 0.473 0.250 S
0.920 0.080 0.039 S
0.920 0.080 0.461 S
```

Computed properties:
As for the volume: 348 Å³/cell. The value obtained for the total magnetization is 0.028 μB/cell. The total energy comes out at -61.9 eV for the cell shown. As for the space-group type: Cmcm (63).



[3]
VASP calculation (PBE) on an optimized crystal structure of GdAlZn.

Structure (POSCAR):
```
GdAlZn
1.0
7.283 0.000 0.000
0.000 4.522 0.000
0.000 0.000 7.656
Gd Al Zn
4 4 4
Direct
0.005 0.250 0.216 Gd
0.495 0.750 0.716 Gd
0.505 0.250 0.284 Gd
0.995 0.750 0.784 Gd
0.203 0.250 0.589 Al
0.297 0.750 0.089 Al
0.703 0.250 0.911 Al
0.797 0.750 0.411 Al
0.199 0.750 0.416 Zn
0.301 0.250 0.916 Zn
0.699 0.750 0.084 Zn
0.801 0.250 0.584 Zn
```

Computed properties:
As for the volume: 252 Å³/cell. The value obtained for the total magnetization is 0.170 μB/cell. The total energy comes out at -44.1 eV for the cell shown. As for the space-group type: Pnma (62).



[4]
VASP calculation (PBE) on an optimized crystal structure of YPu3Te4.

Structure (POSCAR):
```
YPu3Te4
1.0
4.423 -6.248 0.000
4.423 6.248 0.000
0.000 0.000 4.420
Y Pu Te
1 3 4
Direct
0.000 0.000 0.000 Y
0.000 0.500 0.500 Pu
0.500 0.000 0.500 Pu
0.500 0.500 0.000 Pu
0.247 0.247 0.500 Te
0.249 0.751 0.000 Te
0.751 0.249 0.000 Te
0.753 0.753 0.500 Te
```

Computed properties:
As for the volume: 244 Å³/cell. The value obtained for the total magnetization is 17.908 μB/cell. The total energy comes out at -71.3 eV for the cell shown. As for the space-group type: Cmmm (65).



[5]
VASP calculation (PBE) on an optimized crystal structure of CsSmNiSe3.

Structure (POSCAR):
```
CsSmNiSe3
1.0
9.738 0.000 0.000
0.000 4.164 0.000
-3.624 0.000 9.441
Cs Sm Ni Se
2 2 2 6
Direct
0.213 0.250 0.247 Cs
0.787 0.750 0.753 Cs
0.327 0.750 0.860 Sm
0.673 0.250 0.140 Sm
0.078 0.250 0.598 Ni
0.922 0.750 0.402 Ni
0.113 0.250 0.847 Se
0.172 0.750 0.545 Se
0.472 0.750 0.163 Se
0.528 0.250 0.837 Se
0.828 0.250 0.455 Se
0.887 0.750 0.153 Se
```

Computed properties:
As for the volume: 383 Å³/cell. The energy above the most stable polymorph in this dataset is 0 meV/atom. The value obtained for the total magnetization is 2.574 μB/cell. As for the space-group type: P2_1/m (11).



[6]
VASP calculation (PBE) on an optimized crystal structure of Ba3YIr2O9.

Structure (POSCAR):
```
Ba3YIr2O9
1.0
5.884 0.000 0.000
-2.942 5.096 0.000
0.000 0.000 14.678
Ba Y Ir O
6 2 4 18
Direct
0.000 0.000 0.000 Ba
0.000 0.000 0.500 Ba
0.333 0.667 0.147 Ba
0.333 0.667 0.824 Ba
0.667 0.333 0.324 Ba
0.667 0.333 0.647 Ba
0.333 0.667 0.397 Y
0.667 0.333 0.897 Y
0.000 0.000 0.241 Ir
0.000 0.000 0.741 Ir
0.333 0.667 0.590 Ir
0.667 0.333 0.090 Ir
0.019 0.510 0.508 O
0.154 0.308 0.321 O
0.154 0.846 0.321 O
0.166 0.333 0.666 O
0.166 0.834 0.666 O
0.308 0.154 0.821 O
0.333 0.166 0.166 O
0.490 0.510 0.508 O
0.490 0.981 0.508 O
0.510 0.019 0.008 O
0.510 0.490 0.008 O
0.667 0.834 0.666 O
0.692 0.846 0.321 O
0.834 0.166 0.166 O
0.834 0.667 0.166 O
0.846 0.154 0.821 O
0.846 0.692 0.821 O
0.981 0.490 0.008 O
```

Computed properties:
As for the volume: 440 Å³/cell. The energy above the most stable polymorph in this dataset is 79 meV/atom. The value obtained for the total magnetization is 6.010 μB/cell. As for the space-group type: P6_3mc (186).